## NpAl2CoO8 (GGA+U)

Data for an optimized crystal structure of NpAl2CoO8.

Unit cell a=4.6152 b=4.6152 c=6.0125 alpha=90.00 beta=90.00 gamma=91.63
Last column: nearest neighbours and their distance in Å.
Sites, in units of the cell vectors:
Np 0.0000 0.0000 0.0000  6 O 2.02-2.04
Al 0.5000 0.5000 0.2670  6 O 1.89-1.99
Al 0.5000 0.5000 0.7330  6 O 1.89-1.99
Co 0.0000 0.0000 0.5000  6 O 1.95-2.04
O 0.2062 0.7938 0.2471  1 Al 1.95, 1 Np 2.02, 1 Co 2.04
O 0.2062 0.7938 0.7529  1 Al 1.95, 1 Np 2.02, 1 Co 2.04
O 0.3029 0.3029 0.5000  2 Al 1.89, 1 Co 1.95
O 0.3164 0.3164 0.0000  2 Al 1.99, 1 Np 2.04
O 0.6836 0.6836 0.0000  2 Al 1.99, 1 Np 2.04
O 0.6971 0.6971 0.5000  2 Al 1.89, 1 Co 1.95
O 0.7938 0.2062 0.2471  1 Al 1.95, 1 Np 2.02, 1 Co 2.04
O 0.7938 0.2062 0.7529  1 Al 1.95, 1 Np 2.02, 1 Co 2.04

Its total energy is -92.51 eV/cell. The calculation puts the volume at 10.7 Å³/atom. The calculation puts the total magnetization at 0.34 μB per atom. Its space group is Cmmm, No. 65.